VASP calculation (PBE+U) on crystalline ZnFeCo2F at its relaxed geometry.

Properties
Energy in eV/atom: -2.96
Magnetization in μB per cell: 7.30
Space group: P4/mmm (123)
V in Å³/atom: 19.7

```
data_ZnFeCo2F
_space_group_name_H-M_alt 'P 1'
_space_group_IT_number 1
_cell_length_a 4.581
_cell_length_b 4.581
_cell_length_c 4.703
_cell_angle_alpha 90.00
_cell_angle_beta 90.00
_cell_angle_gamma 90.00
loop_
_space_group_symop_operation_xyz
'x,y,z'
loop_
_atom_site_label
_atom_site_fract_x
_atom_site_fract_y
_atom_site_fract_z
Zn1 0.000 0.000 0.000
Fe1 0.000 0.000 0.500
Co1 0.000 0.500 0.500
Co2 0.500 0.000 0.500
F1 0.500 0.500 0.000
```